A geometry-optimized NpTa2N4 structure, computed with GGA-PBE.

abc: 3.131 10.282 10.344
angles: 90.00 90.00 90.00
Space group Cmcm (No. 63)
Asymmetric unit:
Np: 0.000 0.114 0.250 x4
Ta: 0.000 0.371 0.065 x8
N: 0.000 0.000 0.000 x4
N: 0.000 0.265 0.615 x8
N: 0.000 0.442 0.250 x4

VASP energy ... -11.139 eV per atom
Total moment ... 0.505 μB per atom

=====

A geometry-optimized ScCoSi structure, computed with GGA-PBE.

abc: 3.805 9.275 4.968
angles: 90.00 90.00 90.00
Space group Cmcm (No. 63)
Asymmetric unit:
Sc: 0.000 0.212 0.250 x4
Co: 0.000 0.073 0.750 x4
Si: 0.000 0.500 0.000 x4

VASP energy ... -6.963 eV per atom
Total moment ... 0.000 μB per atom

=====

Copy entry 1 word for word.
A geometry-optimized NpTa2N4 structure, computed with GGA-PBE.

abc: 3.131 10.282 10.344
angles: 90.00 90.00 90.00
Space group Cmcm (No. 63)
Asymmetric unit:
Np: 0.000 0.114 0.250 x4
Ta: 0.000 0.371 0.065 x8
N: 0.000 0.000 0.000 x4
N: 0.000 0.265 0.615 x8
N: 0.000 0.442 0.250 x4

VASP energy ... -11.139 eV per atom
Total moment ... 0.505 μB per atom

=====

Question: VASP energy of number 2 (ScCoSi)?
Answer: -6.963 eV per atom

=====

What did the second record say?
A geometry-optimized ScCoSi structure, computed with GGA-PBE.

abc: 3.805 9.275 4.968
angles: 90.00 90.00 90.00
Space group Cmcm (No. 63)
Asymmetric unit:
Sc: 0.000 0.212 0.250 x4
Co: 0.000 0.073 0.750 x4
Si: 0.000 0.500 0.000 x4

VASP energy ... -6.963 eV per atom
Total moment ... 0.000 μB per atom

=====

Question: The lowest total moment belongs to which entry?
Answer: ScCoSi